8
Lattice="-3.424 3.424 3.424 3.424 -3.424 3.424 3.424 3.424 -3.424" Properties=species:S:1:pos:R:3 comment="Li (GGA-PBEsol, relaxed)" formation_enthalpy_0k_ev_per_atom=0.001 energy_ev_per_atom=-1.97 n_ef_per_ev_cell=3.67 space_group="I-43d, No. 220" pbc="T T T"
Li 3.383 0.041 -0.041
Li 5.094 -1.671 1.671
Li 0.041 0.041 0.041
Li 0.041 -0.041 3.383
Li -0.041 3.383 0.041
Li 1.671 5.094 -1.671
Li 1.753 1.753 1.753
Li -1.671 1.671 5.094